A plane-wave DFT calculation with PBE-GGA was carried out for crystalline FeHgGeIr at its relaxed geometry.

Values from the calculation:
size of the total moment: 10.32 μB per cell
energy above the lowest structure with this stoichiometry: 0.000 eV/atom

Cell: 6.331 6.331 6.331 Å, 90.00 90.00 90.00°
Space group F-43m (No. 216)
Unique sites:
Fe1 0.000 0.000 0.000 x4
Hg1 0.250 0.250 0.250 x4
Ge1 0.250 0.250 0.750 x4
Ir1 0.000 0.000 0.500 x4

---

A plane-wave DFT calculation with PBE-GGA was carried out for crystalline KTePbAuSe2 at its relaxed geometry.

Cell: 4.156 15.512 12.206 Å, 90.00 90.00 90.00°
Space group Cmcm (No. 63)
Unique sites:
K1 0.000 0.236 0.250 x4
Te1 0.000 0.068 0.750 x4
Pb1 0.000 0.000 0.000 x4
Au1 0.000 0.446 0.750 x4
Se1 0.000 0.372 0.561 x8

---

A plane-wave DFT calculation with PBE-GGA was carried out for crystalline CoTcAsW at its relaxed geometry.

Values from the calculation:
size of the total moment: 9.80 μB per cell
energy above the lowest structure with this stoichiometry: 0.000 eV/atom

Cell: 6.121 6.121 6.121 Å, 90.00 90.00 90.00°
Space group F-43m (No. 216)
Unique sites:
Co1 0.000 0.000 0.000 x4
Tc1 0.000 0.000 0.500 x4
As1 0.250 0.250 0.750 x4
W1 0.250 0.250 0.250 x4

---

| no. | electronic total energy (eV per atom) |
| --- | --- |
| 1 | -5.145 |
| 2 | -3.384 |
| 3 | -8.482 |